{
  "formula": "AlCr2Ru",
  "functional": "SCAN",
  "state": "PBEsol geometry",
  "lattice_angstrom": [[0.000, 2.926, 2.926], [2.926, 0.000, 2.926], [2.926, 2.926, 0.000]],
  "species": ["Al", "Cr", "Cr", "Ru"],
  "frac_coords": [[0.000, 0.000, 0.000], [0.250, 0.250, 0.250], [0.500, 0.500, 0.500], [0.750, 0.750, 0.750]],
  "magnetic_moment_mub_per_cell": 0.993,
  "rho_g_cm3": 7.7,
  "total_energy_ev_per_atom": -20.199,
  "space_group": "F-43m",
  "e_form_ev_per_atom": -0.362
}

=====

{
  "formula": "LaBeInPt2",
  "functional": "SCAN",
  "state": "PBEsol geometry",
  "lattice_angstrom": [[5.140, 0.000, 0.000], [0.000, 5.140, 0.000], [0.000, 0.000, 6.015]],
  "species": ["La", "Be", "In", "Pt", "Pt"],
  "frac_coords": [[0.000, 0.000, 0.000], [0.500, 0.500, 0.500], [0.000, 0.000, 0.500], [0.000, 0.500, 0.000], [0.500, 0.000, 0.000]],
  "magnetic_moment_mub_per_cell": 0.000,
  "rho_g_cm3": 6.8,
  "total_energy_ev_per_atom": -42.995,
  "space_group": "P4/mmm",
  "e_form_ev_per_atom": 1.251
}

=====

{
  "formula": "Y2AlSb",
  "functional": "SCAN",
  "state": "PBEsol geometry",
  "lattice_angstrom": [[4.098, 0.000, 0.000], [0.000, 2.194, 5.552], [0.000, -2.194, 5.552]],
  "species": ["Y", "Y", "Al", "Sb"],
  "frac_coords": [[0.000, 0.000, 0.000], [0.500, 0.280, 0.280], [0.000, 0.733, 0.733], [0.500, 0.560, 0.560]],
  "magnetic_moment_mub_per_cell": 0.000,
  "rho_g_cm3": 5.4,
  "total_energy_ev_per_atom": -26.013,
  "space_group": "Amm2",
  "formation_energy_uncorrected_mev_per_atom": -839
}

=====

{
  "formula": "Al8Cu",
  "functional": "SCAN",
  "state": "PBEsol geometry",
  "lattice_angstrom": [[-4.212, 4.212, 1.966], [4.212, -4.212, 1.966], [4.212, 4.212, -1.966]],
  "species": ["Al", "Al", "Al", "Al", "Al", "Al", "Al", "Al", "Cu"],
  "frac_coords": [[0.000, 0.329, 0.329], [0.000, 0.671, 0.671], [0.329, 0.000, 0.329], [0.338, 0.338, 0.676], [0.338, 0.662, 0.000], [0.662, 0.338, 0.000], [0.662, 0.662, 0.324], [0.671, 0.000, 0.671], [0.000, 0.000, 0.000]],
  "magnetic_moment_mub_per_cell": 0.000,
  "rho_g_cm3": 3.3,
  "total_energy_ev_per_atom": -8.612,
  "space_group": "I4/mmm",
  "e_form_ev_per_atom": -0.033
}

=====

{
  "formula": "ScCdBr2",
  "functional": "SCAN",
  "state": "PBEsol geometry",
  "lattice_angstrom": [[3.427, 0.000, 0.000], [0.000, 3.427, 0.000], [0.000, 0.000, 8.111]],
  "species": ["Sc", "Cd", "Br", "Br"],
  "frac_coords": [[0.000, 0.000, 0.000], [0.500, 0.500, 0.746], [0.000, 0.000, 0.542], [0.500, 0.500, 0.183]],
  "magnetic_moment_mub_per_cell": 0.993,
  "rho_g_cm3": 5.5,
  "total_energy_ev_per_atom": -21.791,
  "space_group": "P4mm",
  "formation_energy_uncorrected_mev_per_atom": -898
}

=====

{
  "formula": "K2RbLuCl6",
  "functional": "SCAN",
  "state": "PBEsol geometry",
  "lattice_angstrom": [[0.000, 5.559, 5.559], [5.559, 0.000, 5.559], [5.559, 5.559, 0.000]],
  "species": ["K", "K", "Rb", "Lu", "Cl", "Cl", "Cl", "Cl", "Cl", "Cl"],
  "frac_coords": [[0.250, 0.250, 0.250], [0.750, 0.750, 0.750], [0.000, 0.000, 0.000], [0.500, 0.500, 0.500], [0.272, 0.272, 0.728], [0.272, 0.728, 0.272], [0.272, 0.728, 0.728], [0.728, 0.272, 0.272], [0.728, 0.272, 0.728], [0.728, 0.728, 0.272]],
  "magnetic_moment_mub_per_cell": 0.000,
  "rho_g_cm3": 2.7,
  "total_energy_ev_per_atom": -16.322,
  "space_group": "Fm-3m",
  "formation_energy_uncorrected_mev_per_atom": -2262
}

=====

{
  "formula": "CsLi3Ge",
  "functional": "SCAN",
  "state": "PBEsol geometry",
  "lattice_angstrom": [[5.046, 0.000, 0.000], [0.000, 5.046, 0.000], [0.000, 0.000, 5.046]],
  "species": ["Cs", "Li", "Li", "Li", "Ge"],
  "frac_coords": [[0.000, 0.000, 0.000], [0.000, 0.000, 0.500], [0.000, 0.500, 0.000], [0.500, 0.000, 0.000], [0.500, 0.500, 0.500]],
  "magnetic_moment_mub_per_cell": 0.000,
  "rho_g_cm3": 2.9,
  "total_energy_ev_per_atom": -11.843,
  "space_group": "Pm-3m",
  "e_form_ev_per_atom": 0.970
}

=====

{
  "formula": "In2CoSb",
  "functional": "SCAN",
  "state": "PBEsol geometry",
  "lattice_angstrom": [[-1.510, 2.201, 6.236], [1.510, -2.201, 6.236], [1.510, 2.201, -6.236]],
  "species": ["In", "In", "Co", "Sb"],
  "frac_coords": [[0.000, 0.000, 0.000], [0.676, 0.176, 0.500], [0.491, 0.491, 0.000], [0.322, 0.822, 0.500]],
  "magnetic_moment_mub_per_cell": 0.365,
  "rho_g_cm3": 8.2,
  "total_energy_ev_per_atom": -30.189,
  "space_group": "Imm2",
  "formation_energy_uncorrected_mev_per_atom": 146
}

=====

{
  "formula": "BaHPb3",
  "functional": "SCAN",
  "state": "PBEsol geometry",
  "lattice_angstrom": [[5.057, 0.000, 0.000], [0.000, 5.057, 0.000], [0.000, 0.000, 5.057]],
  "species": ["Ba", "H", "Pb", "Pb", "Pb"],
  "frac_coords": [[0.000, 0.000, 0.000], [0.500, 0.500, 0.500], [0.000, 0.500, 0.500], [0.500, 0.000, 0.500], [0.500, 0.500, 0.000]],
  "magnetic_moment_mub_per_cell": 0.000,
  "rho_g_cm3": 9.8,
  "total_energy_ev_per_atom": -54.262,
  "space_group": "Pm-3m"
}

=====

{
  "formula": "K5P3",
  "functional": "SCAN",
  "state": "PBEsol geometry",
  "lattice_angstrom": [[4.689, -4.978, 0.000], [4.689, 4.978, 0.000], [0.000, 0.000, 4.536]],
  "species": ["K", "K", "K", "K", "K", "P", "P", "P"],
  "frac_coords": [[0.000, 0.000, 0.000], [0.000, 0.500, 0.000], [0.283, 0.717, 0.500], [0.500, 0.000, 0.000], [0.717, 0.283, 0.500], [0.264, 0.264, 0.500], [0.500, 0.500, 0.000], [0.736, 0.736, 0.500]],
  "magnetic_moment_mub_per_cell": 0.000,
  "rho_g_cm3": 2.3,
  "total_energy_ev_per_atom": -9.149,
  "space_group": "Cmmm",
  "e_form_ev_per_atom": -0.044
}

=====

{
  "formula": "CdTe2N",
  "functional": "SCAN",
  "state": "PBEsol geometry",
  "lattice_angstrom": [[1.609, 0.929, 9.395], [-1.609, 0.929, 9.395], [0.000, -1.858, 9.395]],
  "species": ["Cd", "Te", "Te", "N"],
  "frac_coords": [[0.000, 0.000, 0.000], [0.109, 0.109, 0.109], [0.891, 0.891, 0.891], [0.500, 0.500, 0.500]],
  "magnetic_moment_mub_per_cell": 0.000,
  "rho_g_cm3": 7.5,
  "total_energy_ev_per_atom": -27.708,
  "space_group": "R-3m",
  "formation_energy_uncorrected_mev_per_atom": 844
}

=====

{
  "formula": "SiPtPb2",
  "functional": "SCAN",
  "state": "PBEsol geometry",
  "lattice_angstrom": [[2.076, 1.199, 6.417], [-2.076, 1.199, 6.417], [0.000, -2.397, 6.417]],
  "species": ["Si", "Pt", "Pb", "Pb"],
  "frac_coords": [[0.000, 0.000, 0.000], [0.332, 0.332, 0.332], [0.569, 0.569, 0.569], [0.763, 0.763, 0.763]],
  "magnetic_moment_mub_per_cell": 0.000,
  "rho_g_cm3": 11.1,
  "total_energy_ev_per_atom": -58.229,
  "space_group": "R3m",
  "formation_energy_uncorrected_mev_per_atom": -286
}

=====

Which formula does entry 6 have?
K2RbLuCl6